First-principles (GGA-PBEsol) data for a geometry-optimized Na2SrTe2 structure, as listed in the Alexandria database.

Output
Space-group type = P4/mbm, No. 127
Total magnetization = 0.000 μB/f.u.
E_tot = -32.99 eV per cell
Calculated density = 3.9 g cm⁻³

POSCAR file:
```
Na2SrTe2
1.0
8.6736 0.0000 0.0000
0.0000 8.6736 0.0000
0.0000 0.0000 4.3705
Na Sr Te
4 2 4
direct
0.1288 0.3712 0.0000 Na
0.3712 0.8712 0.0000 Na
0.6288 0.1288 0.0000 Na
0.8712 0.6288 0.0000 Na
0.0000 0.0000 0.5000 Sr
0.5000 0.5000 0.5000 Sr
0.1744 0.6744 0.5000 Te
0.3256 0.1744 0.5000 Te
0.6744 0.8256 0.5000 Te
0.8256 0.3256 0.5000 Te
```